# 1
The following is a DFT calculation (GGA-PBE) of a relaxed Rb2I6OF crystal.

SG: I4/mmm
E_form (uncorrected) in eV/atom: -0.478
Raw total energy in eV/atom: -2.28

Cell lengths 8.311, 8.311, 7.696 Å; angles 57.32, 57.32, 90.00 degrees
Atoms (fractional coordinates):
Rb 0.250 0.750 0.500
I 0.766 0.766 0.467
I 0.278 0.722 0.000
O 0.500 0.500 0.000
Rb 0.750 0.250 0.500
I 0.722 0.722 0.000
I 0.278 0.278 0.000
F 0.000 0.000 0.000
I 0.722 0.278 0.000
I 0.234 0.234 0.533


# 2
The following is a DFT calculation (GGA-PBE) of a relaxed Th3Cu2Ge3 crystal.

Formation energy from the elements in meV/atom: -595
SG: Cmcm
Raw total energy in eV/atom: -6.13

Cell lengths 4.265, 5.927, 14.695 Å; angles 90.00, 90.00, 111.09 degrees
Atoms (fractional coordinates):
Th 0.077 0.153 0.610
Cu 0.780 0.560 0.598
Th 0.923 0.847 0.110
Ge 0.628 0.256 0.042
Cu 0.780 0.560 0.902
Ge 0.372 0.744 0.542
Cu 0.220 0.440 0.402
Ge 0.652 0.305 0.750
Th 0.077 0.153 0.890
Th 0.923 0.847 0.390
Ge 0.628 0.256 0.458
Ge 0.348 0.695 0.250
Th 0.363 0.726 0.750
Th 0.637 0.274 0.250
Ge 0.372 0.744 0.958
Cu 0.220 0.440 0.098


# 3
The following is a DFT calculation (GGA-PBE) of a relaxed Ho5CdIr crystal.

Formation energy from the elements in meV/atom: -269
SG: C2/c
Raw total energy in eV/atom: -4.94

Cell lengths 5.885, 5.885, 11.797 Å; angles 78.11, 78.11, 78.25 degrees
Atoms (fractional coordinates):
Ho 0.581 0.916 0.625
Ho 0.084 0.419 0.875
Cd 0.595 0.405 0.750
Ho 0.002 0.998 0.750
Ir 0.000 0.000 0.500
Ho 0.208 0.542 0.567
Ho 0.419 0.084 0.375
Cd 0.405 0.595 0.250
Ho 0.542 0.208 0.067
Ho 0.998 0.002 0.250
Ho 0.458 0.792 0.933
Ir 0.000 0.000 0.000
Ho 0.916 0.581 0.125
Ho 0.792 0.458 0.433


# 4
The following is a DFT calculation (GGA-PBE) of a relaxed CaY2Mo crystal.

Formation energy from the elements in meV/atom: 624
SG: C2/m
Raw total energy in eV/atom: -5.82

Cell lengths 6.330, 6.330, 3.200 Å; angles 77.15, 77.15, 115.80 degrees
Atoms (fractional coordinates):
Mo 0.000 0.500 0.500
Y 0.500 0.500 0.000
Ca 0.500 0.000 0.500
Y 0.000 0.000 0.000


# 5
The following is a DFT calculation (GGA-PBE) of a relaxed TiCrGa crystal.

Formation energy from the elements in meV/atom: -203
SG: I4mm
Raw total energy in eV/atom: -7.05

Cell lengths 3.184, 3.184, 4.833 Å; angles 109.23, 109.23, 90.00 degrees
Atoms (fractional coordinates):
Ga 0.007 0.007 0.013
Cr 0.669 0.669 0.337
Ti 0.325 0.325 0.649


# 6
The following is a DFT calculation (GGA-PBE) of a relaxed SrBePt4 crystal.

Formation energy from the elements in meV/atom: -266
SG: F-43m
Raw total energy in eV/atom: -5.19

Cell lengths 5.389, 5.389, 5.389 Å; angles 60.00, 60.00, 60.00 degrees
Atoms (fractional coordinates):
Be 0.000 0.000 0.000
Sr 0.750 0.750 0.750
Pt 0.877 0.374 0.374
Pt 0.374 0.877 0.374
Pt 0.374 0.374 0.877
Pt 0.374 0.374 0.374


# 7
The following is a DFT calculation (GGA-PBE) of a relaxed Tb4Pm2Sm2Er crystal.

Formation energy from the elements in meV/atom: 4
SG: C2/m
Raw total energy in eV/atom: -4.67

Cell lengths 3.620, 9.571, 9.631 Å; angles 115.22, 90.00, 100.90 degrees
Atoms (fractional coordinates):
Sm 0.147 0.295 0.664
Tb 0.185 0.370 0.334
Tb 0.519 0.038 0.332
Tb 0.481 0.962 0.668
Sm 0.853 0.705 0.336
Pm 0.335 0.669 0.000
Er 0.000 0.000 0.000
Pm 0.665 0.331 0.000
Tb 0.815 0.630 0.666


# 8
The following is a DFT calculation (GGA-PBE) of a relaxed PmSi3Rh9 crystal.

SG: C2/m
E_form (uncorrected) in eV/atom: -0.563
Raw total energy in eV/atom: -7.27

Cell lengths 5.082, 6.299, 6.891 Å; angles 83.25, 68.36, 71.42 degrees
Atoms (fractional coordinates):
Rh 0.049 0.325 0.638
Si 0.500 0.500 0.000
Rh 0.313 0.675 0.638
Rh 0.481 0.772 0.226
Si 0.000 0.000 0.500
Si 0.500 0.000 0.500
Pm 0.000 0.000 0.000
Rh 0.951 0.675 0.362
Rh 0.519 0.228 0.774
Rh 0.707 0.772 0.774
Rh 0.000 0.500 0.000
Rh 0.687 0.325 0.362
Rh 0.293 0.228 0.226